15
Lattice="5.9730 0.0000 0.0000 -2.9865 5.1727 0.0000 0.0000 0.0000 7.2540" Properties=species:S:1:pos:R:3 comment="Ba3HoMo2O9 PBE with a Hubbard U relaxed" e_tot_ev_per_cell=-107.267 dos_at_fermi_per_ev_cell=2.71 pbc="T T T"
Ba 0.0000 0.0000 0.0000
Ba 0.0000 3.4485 4.8589
Ba 2.9865 1.7242 2.3951
Ho 0.0000 0.0000 3.6270
Mo 0.0000 3.4485 1.1756
Mo 2.9865 1.7242 6.0784
O -1.4932 2.5864 0.0000
O 0.0000 1.7994 2.3137
O -1.4282 4.2730 2.3137
O 1.5583 0.8997 4.9403
O 2.9865 0.0000 0.0000
O 1.4932 2.5864 0.0000
O 1.4282 4.2730 2.3137
O 4.4146 0.8997 4.9403
O 2.9865 3.3733 4.9403